(1)
Here is an optimized crystal structure of VGeS4 from the Alexandria database. Energies are from PBE.

Cell: 6.2809 6.2809 6.2809 Å, 126.80 126.80 78.57°
Closest atoms and distances in Å follow each position.
Fractional positions:
V 0.0000 0.0000 0.0000  4 S 2.20
Ge 0.7500 0.2500 0.5000  4 S 2.27
S 0.0986 0.6340 0.9785  1 V 2.20, 1 Ge 2.27
S 0.3660 0.3445 0.4646  1 V 2.20, 1 Ge 2.27
S 0.6555 0.1201 0.0215  1 V 2.20, 1 Ge 2.27
S 0.8799 0.9014 0.5354  1 V 2.20, 1 Ge 2.27

Computed properties:
The formation energy from raw total energies is -10.5 kcal/mol of atoms. The crystal system is tetragonal. As for the space-group type: I-4.

(2)
Here is an optimized crystal structure of Li2CeU3Se6 from the Alexandria database. Energies are from PBE.

Cell: 9.1615 9.1615 8.2669 Å, 105.31 105.31 25.37°
Closest atoms and distances in Å follow each position.
Fractional positions:
Li 0.1738 0.1738 0.3463  6 Se 2.71-2.89
Li 0.8262 0.8262 0.6537  6 Se 2.71-2.89
Ce 0.5000 0.5000 0.0000  6 Se 2.91-2.93
U 0.1639 0.1639 0.8302  6 Se 2.86-2.95
U 0.5000 0.5000 0.5000  6 Se 2.86-2.91
U 0.8361 0.8361 0.1698  6 Se 2.86-2.95
Se 0.0076 0.0076 0.2591  3 U 2.86-2.95, 1 Li 2.86, 2 Ce 2.91
Se 0.3300 0.3300 0.9064  3 U 2.86-2.94, 2 Li 2.89, 1 Ce 2.93
Se 0.3310 0.3310 0.4208  3 Li 2.71-2.80, 3 U 2.91
Se 0.6690 0.6690 0.5792  3 Li 2.71-2.80, 3 U 2.91
Se 0.6700 0.6700 0.0936  3 U 2.86-2.94, 2 Li 2.89, 1 Ce 2.93
Se 0.9924 0.9924 0.7409  3 U 2.86-2.95, 1 Li 2.86, 2 Ce 2.91

Computed properties:
The formation energy from raw total energies is -28.8 kcal/mol of atoms. The crystal system is monoclinic. As for the space-group type: C2/m.

(3)
Here is an optimized crystal structure of BaCa2PtO4 from the Alexandria database. Energies are from PBE.

Cell: 6.3924 6.3924 11.9901 Å, 90.00 90.00 148.31°
Closest atoms and distances in Å follow each position.
Fractional positions:
Ba 0.1208 0.8792 0.7500  6 O 2.68-2.77
Ba 0.8792 0.1208 0.2500  6 O 2.68-2.77
Ca 0.3728 0.6272 0.5432  5 O 2.32-2.57
Ca 0.3728 0.6272 0.9568  5 O 2.32-2.57
Ca 0.6272 0.3728 0.0432  5 O 2.32-2.57
Ca 0.6272 0.3728 0.4568  5 O 2.32-2.57
Pt 0.1438 0.8562 0.2500  4 O 2.13-2.19
Pt 0.8562 0.1438 0.7500  4 O 2.13-2.19
O 0.0000 0.0000 0.0000  4 Ca 2.40
O 0.0000 0.0000 0.5000  4 Ca 2.40
O 0.2641 0.7359 0.1151  1 Pt 2.19, 1 Ca 2.32
O 0.2641 0.7359 0.3849  1 Pt 2.19, 1 Ca 2.32
O 0.4550 0.5450 0.7500  2 Pt 2.13
O 0.5450 0.4550 0.2500  2 Pt 2.13
O 0.7359 0.2641 0.6151  1 Pt 2.19, 1 Ca 2.32
O 0.7359 0.2641 0.8849  1 Pt 2.19, 1 Ca 2.32

Computed properties:
The formation energy from raw total energies is -44.2 kcal/mol of atoms. The crystal system is orthorhombic. As for the space-group type: Cmcm.

(4)
Here is an optimized crystal structure of CoMoOs2 from the Alexandria database. Energies are from PBE.

Cell: 2.7892 4.4973 4.5300 Å, 90.00 90.00 90.00°
Closest atoms and distances in Å follow each position.
Fractional positions:
Co 0.0000 0.0000 0.0000  4 Os 2.65, 4 Mo 2.66, 2 Co 2.79
Mo 0.5000 0.0000 0.5000  4 Os 2.65, 4 Co 2.66, 2 Mo 2.79
Os 0.0000 0.5000 0.5000  4 Mo 2.65, 6 Os 2.66-2.79
Os 0.5000 0.5000 0.0000  4 Co 2.65, 6 Os 2.66-2.79

Computed properties:
The crystal system is orthorhombic. As for the space-group type: Pmmm. The calculation puts the formation enthalpy at 0 K at 405 meV per atom. As for the energy above the most stable polymorph in this dataset: 375 meV/atom.

(5)
Here is an optimized crystal structure of Na2GeAs2 from the Alexandria database. Energies are from PBE.

Cell: 8.7446 8.7446 2.8405 Å, 90.00 90.00 90.00°
Closest atoms and distances in Å follow each position.
Fractional positions:
Na 0.1190 0.3810 0.0000  3 Na 2.84-2.94, 6 As 2.85-3.03
Na 0.3810 0.8810 0.0000  3 Na 2.84-2.94, 6 As 2.85-3.03
Na 0.6190 0.1190 0.0000  3 Na 2.84-2.94, 6 As 2.85-3.03
Na 0.8810 0.6190 0.0000  3 Na 2.84-2.94, 6 As 2.85-3.03
Ge 0.0000 0.0000 0.0000  2 Ge 2.84
Ge 0.5000 0.5000 0.0000  2 Ge 2.84
As 0.1810 0.6810 0.5000  2 As 2.84, 6 Na 2.85-3.03
As 0.3190 0.1810 0.5000  2 As 2.84, 6 Na 2.85-3.03
As 0.6810 0.8190 0.5000  2 As 2.84, 6 Na 2.85-3.03
As 0.8190 0.3190 0.5000  2 As 2.84, 6 Na 2.85-3.03

Computed properties:
The crystal system is tetragonal. As for the space-group type: P4/mbm. The calculation puts the formation enthalpy at 0 K at 73 meV per atom. As for the energy above the most stable polymorph in this dataset: 378 meV/atom.

(6)
Here is an optimized crystal structure of CoNi9Ge2 from the Alexandria database. Energies are from PBE.

Cell: 3.5605 3.5605 10.6842 Å, 90.00 90.00 90.00°
Closest atoms and distances in Å follow each position.
Fractional positions:
Co 0.0000 0.0000 0.0000  12 Ni 2.48-2.52
Ni 0.0000 0.5000 0.1620  2 Co 2.48, 8 Ni 2.48-2.54, 2 Ge 2.54
Ni 0.0000 0.5000 0.5000  8 Ni 2.52-2.53, 4 Ge 2.53
Ni 0.0000 0.5000 0.8380  2 Co 2.48, 8 Ni 2.48-2.54, 2 Ge 2.54
Ni 0.5000 0.0000 0.1620  2 Co 2.48, 8 Ni 2.48-2.54, 2 Ge 2.54
Ni 0.5000 0.0000 0.5000  8 Ni 2.52-2.53, 4 Ge 2.53
Ni 0.5000 0.0000 0.8380  2 Co 2.48, 8 Ni 2.48-2.54, 2 Ge 2.54
Ni 0.5000 0.5000 0.0000  8 Ni 2.48, 4 Co 2.52
Ni 0.5000 0.5000 0.3322  4 Ge 2.52, 8 Ni 2.53-2.54
Ni 0.5000 0.5000 0.6678  4 Ge 2.52, 8 Ni 2.53-2.54
Ge 0.0000 0.0000 0.3316  12 Ni 2.52-2.54
Ge 0.0000 0.0000 0.6684  12 Ni 2.52-2.54

Computed properties:
The crystal system is tetragonal. As for the space-group type: P4/mmm. The calculation puts the formation enthalpy at 0 K at -165 meV per atom.